Record 1
# Sc8CS2

An optimized crystal structure of Sc8CS2 (PBE, the Alexandria database).

## Properties
Energy relative to the elements, uncorrected   -0.7342 eV per atom
Total magnetic moment   0.05 μB per atom
Volume   20.2 Å³/atom
Electronic total energy   -6.93 eV per atom

Cell and atoms, written as POSCAR:
```
Sc8CS2
1.0
3.2969 0.0000 -0.7003
-0.1131 8.2978 -0.5323
0.0023 0.0075 8.1209
Sc C S
8 1 2
Cartesian
1.8973 4.3589 0.8215
1.1819 0.1237 5.5637
0.7052 2.6574 3.3200
3.1482 6.7450 6.7102
2.4808 5.6479 3.5684
2.0042 8.1815 1.3246
1.2887 3.9464 6.0668
0.0378 1.5603 0.1781
1.6484 0.0000 -0.3502
0.3989 6.2347 1.8781
2.7871 2.0705 5.0103
```

***

Record 2
# Mg2Pd4Au

An optimized crystal structure of Mg2Pd4Au (PBE, the Alexandria database).

## Properties
E_form   35.4 kJ/mol of atoms
Total magnetic moment   0.00 μB per atom
Relative energy among the computed polymorphs   4.60 eV per formula unit
Volume   23.1 Å³/atom
Electronic total energy   -3.52 eV per atom

Cell and atoms, written as POSCAR:
```
Mg2Pd4Au
1.0
4.9279 0.0000 0.0000
0.0000 4.9279 0.0000
2.4640 2.4640 6.6601
Mg Au Pd
2 1 4
Cartesian
2.4640 2.4640 1.4917
4.9279 4.9279 5.1684
0.0000 0.0000 0.0000
2.4640 2.4640 4.0041
4.9279 4.9279 2.6560
0.0000 2.4640 0.0000
2.4640 0.0000 0.0000
```

***

Record 3
# Nb2Ga3Ni

An optimized crystal structure of Nb2Ga3Ni (PBE, the Alexandria database).

## Properties
E_form   6.0 kJ/mol of atoms
Total magnetic moment   0.00 μB per atom
Volume   16.9 Å³/atom
Electronic total energy   -5.77 eV per atom

Cell and atoms, written as POSCAR:
```
Nb2Ga3Ni
1.0
4.0981 0.0000 0.0000
0.0000 5.2507 0.0000
-2.0491 -2.6253 4.6999
Nb Ga Ni
2 3 1
Cartesian
2.0491 0.0000 1.7138
0.0000 2.6253 2.9861
0.0000 0.0000 3.3702
0.0000 0.0000 0.0000
2.0491 2.6253 1.3297
0.0000 2.6253 0.0000
```

***

Record 4
# Tb3Pr6Sm2Y

An optimized crystal structure of Tb3Pr6Sm2Y (PBE, the Alexandria database).

## Properties
E_form   1.0 kJ/mol of atoms
Total magnetic moment   0.00 μB per atom
Volume   34.3 Å³/atom
Electronic total energy   -4.86 eV per atom

Cell and atoms, written as POSCAR:
```
Tb3Pr6Sm2Y
1.0
6.3454 -0.0013 0.0059
-3.1723 5.4955 0.0059
-1.0660 -1.8458 11.8162
Tb Pr Sm Y
3 6 2 1
Cartesian
-2.1192 3.6566 5.9140
4.2263 -0.0082 5.9140
1.0535 1.8242 5.9140
3.1665 1.8178 8.8544
2.1129 3.6585 2.9831
-1.0594 1.8306 2.9737
-0.0079 3.6512 8.8544
-0.0058 -0.0100 8.8449
2.1150 -0.0028 2.9737
-0.0008 3.6638 0.0059
3.1739 1.8304 0.0059
0.0000 0.0000 0.0000
```